[1]
Nd8Co3SiCl4 | PBE | relaxed

a = 8.1135 Å, b = 8.7804 Å, c = 8.1149 Å
α = 117.52°, β = 119.99°, γ = 90.00°
With the nearest neighbours (Å) after each atom.
Fractional coordinates of all 16 atoms:
Nd (0.2428, 0.7056, 0.9632)  2 Co 2.75-2.76, 1 Si 2.88
Nd (0.2427, 0.7057, 0.4853)  2 Co 2.75, 1 Si 2.88
Nd (0.2646, 0.2943, 0.5292)  3 Co 2.80
Nd (0.7204, 0.7056, 0.9632)  2 Co 2.75-2.76, 1 Si 2.88
Nd (0.2796, 0.2944, 0.0368)  2 Co 2.75-2.76, 1 Si 2.88
Nd (0.7354, 0.7057, 0.4708)  3 Co 2.80
Nd (0.7573, 0.2943, 0.5147)  2 Co 2.75, 1 Si 2.88
Nd (0.7572, 0.2944, 0.0368)  2 Co 2.75-2.76, 1 Si 2.88
Co (0.5000, 0.5000, 0.0000)  6 Nd 2.75-2.80
Co (0.5000, 0.5000, 0.5000)  6 Nd 2.75-2.80
Co (0.0000, 0.5000, 0.5000)  6 Nd 2.75-2.80
Si (0.0000, 0.5000, 0.0000)  6 Nd 2.88
Cl (0.5000, 0.0000, 0.0000)  6 Nd 3.13
Cl (0.5000, 0.0000, 0.5000)  6 Nd 3.20-3.24
Cl (0.0000, 0.0000, 0.0000)  6 Nd 3.20-3.24
Cl (0.0000, 0.0000, 0.5000)  6 Nd 3.20-3.24

space-group type: No. 166
formation energy (no corrections): -1329 kJ/mol of formula units

=====

[2]
Nd4CoSiCl2 | PBE | relaxed

a = 4.0437 Å, b = 7.3611 Å, c = 7.5566 Å
α = 107.24°, β = 90.00°, γ = 90.00°
With the nearest neighbours (Å) after each atom.
Fractional coordinates of all 8 atoms:
Nd (0.5000, 0.2210, 0.2063)  2 Co 2.77, 1 Si 2.92
Nd (0.5000, 0.7790, 0.7937)  2 Co 2.77, 1 Si 2.92
Nd (0.0000, 0.2457, 0.7861)  1 Co 2.76, 2 Si 2.90
Nd (0.0000, 0.7543, 0.2139)  1 Co 2.76, 2 Si 2.90
Co (0.0000, 0.0000, 0.0000)  6 Nd 2.76-2.77
Si (0.5000, 0.5000, 0.0000)  6 Nd 2.90-2.92
Cl (0.5000, 0.0000, 0.5000)  6 Nd 3.12
Cl (0.0000, 0.5000, 0.5000)  6 Nd 3.25

space-group type: No. 10
formation energy (no corrections): -731 kJ/mol of formula units

=====

[3]
Nd3CoTeCl | PBE | relaxed

a = 4.0084 Å, b = 8.0994 Å, c = 10.9589 Å
α = 109.93°, β = 90.00°, γ = 90.00°
With the nearest neighbours (Å) after each atom.
Fractional coordinates of all 12 atoms:
Nd (0.7500, 0.8369, 0.0788)  3 Co 2.94-3.00, 1 Cl 3.22, 2 Te 3.24
Nd (0.2500, 0.1631, 0.9212)  3 Co 2.94-3.00, 1 Cl 3.22, 2 Te 3.24
Nd (0.2500, 0.7342, 0.5307)  3 Cl 2.98-3.17, 2 Te 3.24
Nd (0.7500, 0.2658, 0.4693)  3 Cl 2.98-3.17, 2 Te 3.24
Nd (0.7500, 0.4722, 0.2189)  3 Co 2.77-3.02, 1 Cl 2.96
Nd (0.2500, 0.5278, 0.7811)  3 Co 2.77-3.02, 1 Cl 2.96
Co (0.2500, 0.5480, 0.0384)  2 Co 2.21
Co (0.7500, 0.4520, 0.9616)  2 Co 2.21
Te (0.2500, 0.1579, 0.2228)  7 Nd 3.24-3.32
Te (0.7500, 0.8421, 0.7772)  7 Nd 3.24-3.32
Cl (0.2500, 0.1500, 0.6239)  5 Nd 2.96-3.22
Cl (0.7500, 0.8500, 0.3761)  5 Nd 2.96-3.22

space-group type: No. 11
formation energy (no corrections): -536 kJ/mol of formula units

=====

[4]
Nd6TlCo2Cl3 | PBE | relaxed

a = 3.9384 Å, b = 8.8323 Å, c = 10.5324 Å
α = 105.01°, β = 100.78°, γ = 90.00°
With the nearest neighbours (Å) after each atom.
Fractional coordinates of all 12 atoms:
Nd (0.3356, 0.8717, 0.6712)  2 Co 2.75
Nd (0.6897, 0.5815, 0.3794)  3 Co 2.73-2.79
Nd (0.6644, 0.1283, 0.3288)  2 Co 2.75
Nd (0.0416, 0.2916, 0.0831)  1 Co 2.64
Nd (0.9584, 0.7084, 0.9169)  1 Co 2.64
Nd (0.3103, 0.4185, 0.6206)  3 Co 2.73-2.79
Tl (0.5000, 0.0000, 0.0000)  6 Nd 3.18-3.29
Co (0.8265, 0.6497, 0.6530)  6 Nd 2.64-2.79
Co (0.1735, 0.3503, 0.3470)  6 Nd 2.64-2.79
Cl (0.5000, 0.5000, 0.0000)  4 Nd 2.97
Cl (0.8163, 0.1427, 0.6326)  5 Nd 3.11-3.20
Cl (0.1837, 0.8573, 0.3674)  5 Nd 3.11-3.20

space-group type: No. 12
formation energy (no corrections): -958 kJ/mol of formula units

=====

[5]
Nd6ZnCo2Cl3 | PBE | relaxed

a = 7.0380 Å, b = 7.0380 Å, c = 7.8448 Å
α = 98.59°, β = 98.59°, γ = 120.10°
With the nearest neighbours (Å) after each atom.
Fractional coordinates of all 12 atoms:
Nd (0.9307, 0.5695, 0.7912)  2 Co 2.74, 1 Zn 2.98, 1 Cl 3.06
Nd (0.7084, 0.7084, 0.2096)  2 Co 2.74, 1 Zn 2.99, 1 Cl 3.05
Nd (0.0693, 0.4305, 0.2088)  2 Co 2.74, 1 Zn 2.98, 1 Cl 3.06
Nd (0.5695, 0.9307, 0.7912)  2 Co 2.74, 1 Zn 2.98, 1 Cl 3.06
Nd (0.2916, 0.2916, 0.7904)  2 Co 2.74, 1 Zn 2.99, 1 Cl 3.05
Nd (0.4305, 0.0693, 0.2088)  2 Co 2.74, 1 Zn 2.98, 1 Cl 3.06
Zn (0.0000, 0.0000, 0.0000)  6 Nd 2.98-2.99
Co (0.3336, 0.6664, 0.0000)  6 Nd 2.74
Co (0.6664, 0.3336, 0.0000)  6 Nd 2.74
Cl (0.1672, 0.8328, 0.5000)  6 Nd 3.06-3.28
Cl (0.8328, 0.1672, 0.5000)  6 Nd 3.06-3.28
Cl (0.5000, 0.5000, 0.5000)  6 Nd 3.05-3.28

space-group type: No. 12
formation energy (no corrections): -942 kJ/mol of formula units

=====

[6]
Co2Ni2Cl | PBE | relaxed

a = 6.1846 Å, b = 6.1846 Å, c = 3.4010 Å
α = 90.00°, β = 90.00°, γ = 90.00°
With the nearest neighbours (Å) after each atom.
Fractional coordinates of all 10 atoms:
Ni (0.1420, 0.6420, 0.5000)  6 Co 2.44-2.55, 1 Ni 2.48
Ni (0.6420, 0.8580, 0.5000)  6 Co 2.44-2.55, 1 Ni 2.48
Ni (0.8580, 0.3580, 0.5000)  6 Co 2.44-2.55, 1 Ni 2.48
Ni (0.3580, 0.1420, 0.5000)  6 Co 2.44-2.55, 1 Ni 2.48
Co (0.3600, 0.8600, 0.0000)  2 Cl 2.39, 6 Ni 2.44-2.55, 1 Co 2.45
Co (0.8600, 0.6400, 0.0000)  2 Cl 2.39, 6 Ni 2.44-2.55, 1 Co 2.45
Co (0.6400, 0.1400, 0.0000)  2 Cl 2.39, 6 Ni 2.44-2.55, 1 Co 2.45
Co (0.1400, 0.3600, 0.0000)  2 Cl 2.39, 6 Ni 2.44-2.55, 1 Co 2.45
Cl (0.0000, 0.0000, 0.0000)  4 Co 2.39
Cl (0.5000, 0.5000, 0.0000)  4 Co 2.39

space-group type: No. 127
formation energy (no corrections): 228 kJ/mol of formula units
energy relative to the lowest polymorph listed for this composition: 0.0000 eV per atom

=====

[7]
Co2NiCl | PBE | relaxed

a = 2.7499 Å, b = 4.1938 Å, c = 4.3654 Å
α = 90.00°, β = 90.00°, γ = 90.00°
With the nearest neighbours (Å) after each atom.
Fractional coordinates of all 4 atoms:
Ni (0.5000, 0.0000, 0.5000)  4 Cl 2.51, 4 Co 2.58, 2 Ni 2.75
Co (0.0000, 0.0000, 0.0000)  6 Co 2.51-2.75, 4 Ni 2.58
Co (0.5000, 0.5000, 0.0000)  6 Co 2.51-2.75, 4 Cl 2.58
Cl (0.0000, 0.5000, 0.5000)  4 Ni 2.51, 4 Co 2.58, 2 Cl 2.75

space-group type: No. 47
formation energy (no corrections): 248 kJ/mol of formula units
energy relative to the lowest polymorph listed for this composition: 0.4244 eV per atom

=====

[8]
Co2NiCl | PBE | relaxed

a = 4.2434 Å, b = 4.2434 Å, c = 2.7671 Å
α = 90.00°, β = 90.00°, γ = 90.00°
With the nearest neighbours (Å) after each atom.
Fractional coordinates of all 4 atoms:
Ni (0.5000, 0.0000, 0.5000)  8 Co 2.53, 2 Ni 2.77
Co (0.0000, 0.0000, 0.0000)  4 Cl 2.53, 4 Ni 2.53, 2 Co 2.77
Co (0.5000, 0.5000, 0.0000)  4 Cl 2.53, 4 Ni 2.53, 2 Co 2.77
Cl (0.0000, 0.5000, 0.5000)  8 Co 2.53, 2 Cl 2.77

space-group type: No. 123
formation energy (no corrections): 238 kJ/mol of formula units
energy relative to the lowest polymorph listed for this composition: 0.3982 eV per atom